Below is a relaxed La2ZrAs crystal, with properties calculated at the PBE-GGA level.

N(E_F)   3.39 states/eV per cell
Spin magnetization   1.164 Bohr magnetons per cell
Energy of formation   -0.352 eV per atom

The structure in POSCAR format:
```
La2ZrAs
1.0
-3.074 2.312 8.527
-5.500 -0.666 7.538
-1.914 -1.446 9.042
As Zr La
1 1 2
direct
0.750 0.750 0.750
0.250 0.250 0.250
0.013 0.013 0.013
0.487 0.487 0.487
```